No. 1
DFT (PBE) results for an optimized crystal structure of Fe2CoHg.

POSCAR file:
```
Fe2CoHg
1.0
1.402 0.809 8.446
-1.402 0.809 8.446
0.000 -1.619 8.446
Fe Co Hg
2 1 1
Cartesian
0.000 0.000 0.000
0.000 0.000 6.530
0.000 0.000 18.688
0.000 0.000 12.588
```

Computed properties:
- DFT formation energy: 0.3809 eV/atom
- Calculated total energy: -0.2096 Ha/atom
- DOS(E_F): 2.61 states/eV per cell



No. 2
DFT (PBE) results for an optimized crystal structure of EuErSe.

POSCAR file:
```
EuErSe
1.0
3.948 0.000 0.000
-1.974 3.419 0.000
0.000 0.000 6.779
Eu Er Se
1 1 1
Cartesian
0.000 0.000 0.000
0.000 2.279 3.710
1.974 1.140 1.977
```

Computed properties:
- Calculated total energy: -0.2650 Ha/atom
- DOS(E_F): 4.60 states/eV per cell
- Formation energy from raw total energies: -1.103 eV/atom



No. 3
DFT (PBE) results for an optimized crystal structure of La2VB.

POSCAR file:
```
La2VB
1.0
-5.040 5.040 2.090
5.040 -5.040 2.090
5.040 5.040 -2.090
La V B
4 2 2
Cartesian
0.898 2.520 0.523
-2.520 4.142 1.568
-0.898 7.560 0.523
2.520 5.938 1.568
5.040 0.000 1.045
0.000 0.000 2.090
0.000 0.000 0.000
0.000 5.040 1.045
```

Computed properties:
- DFT formation energy: 0.3218 eV/atom
- Calculated total energy: -0.2238 Ha/atom
- DOS(E_F): 8.89 states/eV per cell



No. 4
DFT (PBE) results for an optimized crystal structure of BiSb2Au.

POSCAR file:
```
BiSb2Au
1.0
6.360 -2.079 0.000
6.360 2.079 0.000
-1.500 0.000 4.243
Bi Sb Au
1 2 1
Cartesian
0.000 0.000 0.000
2.976 0.000 1.265
8.243 0.000 2.978
5.610 0.000 2.122
```

Computed properties:
- Calculated total energy: -0.1418 Ha/atom
- DOS(E_F): 1.79 states/eV per cell
- Formation energy from raw total energies: -0.007 eV/atom